A geometry-optimized TlHgBF4 structure, computed with PBE.

extended XYZ file:
```
14
Lattice="-4.675 4.050 3.823 -4.792 -2.320 4.951 3.269 1.055 6.294" Properties=species:S:1:pos:R:3 pbc="T T T"
Tl -0.727 1.382 7.720
Tl -5.471 1.403 7.348
Hg 0.534 0.296 1.726
Hg -6.732 2.489 13.342
B -3.966 1.936 10.509
B -2.231 0.849 4.559
F -0.852 0.875 4.850
F -5.346 1.910 10.218
F -2.593 -0.413 4.007
F -2.963 1.075 5.759
F -3.647 0.928 11.464
F -2.551 1.857 3.605
F -3.235 1.710 9.309
F -3.605 3.198 11.061
```

Calculated values
As for the total energy: -4.636 eV/atom. The space-group type is C2/m, No. 12. For the raw formation energy, the calculation gives -2231.3 meV per atom. The total magnetization comes out at 0.00 μB/f.u.